i:
Entry from Alexandria: an optimized crystal structure of Cs2NaSeF6 (PBE).

Its crystal system is tetragonal. The space group is I4/mmm (139).

The structure in CIF format:
```
data_Cs2NaSeF6
_chemical_formula_sum 'Cs2 Na1 Se1 F6'
_space_group_name_H-M_alt 'P 1'
_space_group_IT_number 1
_space_group_name_Hall 'P 1'
_cell_length_a 6.5333
_cell_length_b 6.5333
_cell_length_c 6.3846
_cell_angle_alpha 59.23
_cell_angle_beta 59.23
_cell_angle_gamma 90.00
loop_
_atom_site_label
_atom_site_fract_x
_atom_site_fract_y
_atom_site_fract_z
Se1 0.0000 0.0000 0.0000
F1 0.2447 0.7553 0.0000
Cs1 0.2500 0.7500 0.5000
F2 0.7770 0.7770 0.4459
F3 0.7553 0.7553 0.0000
F4 0.2230 0.2230 0.5541
F5 0.2447 0.2447 0.0000
Na1 0.5000 0.5000 0.0000
F6 0.7553 0.2447 0.0000
Cs2 0.7500 0.2500 0.5000
```

ii:
Entry from Alexandria: an optimized crystal structure of Cs2NaSeF6 (PBE).

Its crystal system is trigonal. The space group is R-3m (166).

The structure in CIF format:
```
data_Cs2NaSeF6
_chemical_formula_sum 'Cs4 Na2 Se2 F12'
_space_group_name_H-M_alt 'P 1'
_space_group_IT_number 1
_space_group_name_Hall 'P 1'
_cell_length_a 6.4163
_cell_length_b 6.4163
_cell_length_c 11.7310
_cell_angle_alpha 74.13
_cell_angle_beta 74.13
_cell_angle_gamma 60.00
loop_
_atom_site_label
_atom_site_fract_x
_atom_site_fract_y
_atom_site_fract_z
Cs1 0.8635 0.8635 0.4094
F1 0.1797 0.7410 0.8996
F2 0.2590 0.8203 0.1004
F3 0.1513 0.6009 0.6469
Cs2 0.2769 0.2769 0.1693
F4 0.6009 0.6009 0.6469
F5 0.3991 0.8487 0.3531
F6 0.8487 0.3991 0.3531
F7 0.8203 0.8203 0.1004
F8 0.8203 0.2590 0.1004
F9 0.3991 0.3991 0.3531
Na1 0.5942 0.5942 0.2175
F10 0.7410 0.1797 0.8996
F11 0.1797 0.1797 0.8996
F12 0.6009 0.1513 0.6469
Se1 0.0000 0.0000 0.0000
Cs3 0.1365 0.1365 0.5906
Na2 0.4058 0.4058 0.7825
Cs4 0.7231 0.7231 0.8307
Se2 0.5000 0.5000 0.5000
```

Ordering by calculated energy gives the sequence ii, i, with the first entry being the most stable.

i:
Entry from Alexandria: an optimized crystal structure of CsNb3F (PBE).

Its crystal system is cubic. The space group is Pm-3m (221).

The structure in CIF format:
```
data_CsNb3F
_chemical_formula_sum 'Cs1 Nb3 F1'
_space_group_name_H-M_alt 'P 1'
_space_group_IT_number 1
_space_group_name_Hall 'P 1'
_cell_length_a 5.0843
_cell_length_b 5.0843
_cell_length_c 5.0843
_cell_angle_alpha 90.00
_cell_angle_beta 90.00
_cell_angle_gamma 90.00
loop_
_atom_site_label
_atom_site_fract_x
_atom_site_fract_y
_atom_site_fract_z
Nb1 0.5000 0.0000 0.0000
Nb2 0.0000 0.0000 0.5000
Cs1 0.0000 0.0000 0.0000
F1 0.5000 0.5000 0.5000
Nb3 0.0000 0.5000 0.0000
```

ii:
Entry from Alexandria: an optimized crystal structure of CsNb3F (PBE).

Its crystal system is cubic. The space group is Pm-3m (221).

The structure in CIF format:
```
data_CsNb3F
_chemical_formula_sum 'Cs1 Nb3 F1'
_space_group_name_H-M_alt 'P 1'
_space_group_IT_number 1
_space_group_name_Hall 'P 1'
_cell_length_a 4.6343
_cell_length_b 4.6343
_cell_length_c 4.6343
_cell_angle_alpha 90.00
_cell_angle_beta 90.00
_cell_angle_gamma 90.00
loop_
_atom_site_label
_atom_site_fract_x
_atom_site_fract_y
_atom_site_fract_z
Nb1 0.5000 0.0000 0.0000
Nb2 0.0000 0.5000 0.0000
F1 0.0000 0.0000 0.0000
Nb3 0.0000 0.0000 0.5000
Cs1 0.5000 0.5000 0.5000
```

Ordering by calculated energy gives the sequence ii, i, with the first entry being the most stable.

i:
Entry from Alexandria: an optimized crystal structure of Cs2NbF (PBE).

Its crystal system is cubic. The space group is Fm-3m (225).

The structure in CIF format:
```
data_Cs2NbF
_chemical_formula_sum 'Cs2 Nb1 F1'
_space_group_name_H-M_alt 'P 1'
_space_group_IT_number 1
_space_group_name_Hall 'P 1'
_cell_length_a 5.9974
_cell_length_b 5.9974
_cell_length_c 5.9974
_cell_angle_alpha 60.00
_cell_angle_beta 60.00
_cell_angle_gamma 60.00
loop_
_atom_site_label
_atom_site_fract_x
_atom_site_fract_y
_atom_site_fract_z
Cs1 0.7500 0.7500 0.7500
Cs2 0.2500 0.2500 0.2500
F1 0.0000 0.0000 0.0000
Nb1 0.5000 0.5000 0.5000
```

ii:
Entry from Alexandria: an optimized crystal structure of Cs2NbF (PBE).

Its crystal system is tetragonal. The space group is I-42d (122).

The structure in CIF format:
```
data_Cs2NbF
_chemical_formula_sum 'Cs4 Nb2 F2'
_space_group_name_H-M_alt 'P 1'
_space_group_IT_number 1
_space_group_name_Hall 'P 1'
_cell_length_a 7.9313
_cell_length_b 7.9313
_cell_length_c 7.9313
_cell_angle_alpha 113.37
_cell_angle_beta 113.37
_cell_angle_gamma 101.93
loop_
_atom_site_label
_atom_site_fract_x
_atom_site_fract_y
_atom_site_fract_z
Cs1 0.5198 0.6250 0.3948
Cs2 0.8750 0.4802 0.1052
F1 0.2500 0.7500 0.5000
Nb1 0.7500 0.2500 0.5000
Cs3 0.2302 0.1250 0.6052
Cs4 0.3750 0.7698 0.8948
F2 0.5000 0.5000 0.0000
Nb2 0.0000 0.0000 0.0000
```

Ordering by calculated energy gives the sequence ii, i, with the first entry being the most stable.